(1)
First-principles (PBE-GGA) data for crystalline CdH6Rh2 at its relaxed geometry, as listed in Alexandria.

Cell: 4.914 4.914 4.354 Å, 90.00 90.00 120.00°
Fractional coordinates of all 9 atoms:
Cd  0.000  0.000  0.000
H  0.000  0.440  0.235
H  0.000  0.560  0.765
H  0.440  0.000  0.235
H  0.440  0.440  0.765
H  0.560  0.000  0.765
H  0.560  0.560  0.235
Rh  0.333  0.667  0.000
Rh  0.667  0.333  0.000


(2)
First-principles (PBE-GGA) data for crystalline CdH3Rh at its relaxed geometry, as listed in Alexandria.

Cell: 4.863 4.954 5.032 Å, 68.39 70.85 61.48°
Fractional coordinates of all 10 atoms:
Cd  0.000  0.000  0.000
Cd  0.259  0.197  0.373
H  0.277  0.644  0.505
H  0.473  0.474  0.024
H  0.545  0.925  0.884
H  0.671  0.276  0.537
H  0.747  0.677  0.438
H  0.941  0.542  0.892
Rh  0.605  0.584  0.209
Rh  0.864  0.869  0.593


(3)
First-principles (PBE-GGA) data for crystalline CdH3Rh at its relaxed geometry, as listed in Alexandria.

Cell: 16.609 16.609 16.609 Å, 170.16 170.16 13.93°
Fractional coordinates of all 10 atoms:
Cd  0.000  0.000  0.000
Cd  0.750  0.250  0.500
H  0.341  0.341  0.000
H  0.456  0.088  0.368
H  0.659  0.659  0.000
H  0.720  0.088  0.632
H  0.912  0.280  0.368
H  0.912  0.544  0.632
Rh  0.188  0.688  0.500
Rh  0.312  0.812  0.500


(4)
First-principles (PBE-GGA) data for crystalline CdH3Rh2 at its relaxed geometry, as listed in Alexandria.

Cell: 4.707 4.707 5.609 Å, 90.00 90.00 70.44°
Fractional coordinates of all 12 atoms:
Cd  0.096  0.904  0.750
Cd  0.904  0.096  0.250
H  0.066  0.401  0.750
H  0.401  0.066  0.250
H  0.455  0.545  0.250
H  0.545  0.455  0.750
H  0.599  0.934  0.750
H  0.934  0.599  0.250
Rh  0.316  0.316  0.000
Rh  0.316  0.316  0.500
Rh  0.684  0.684  0.000
Rh  0.684  0.684  0.500


Number 1: uncorrected energy -35.31 eV/cell. Number 2: uncorrected energy -37.02 eV/cell. Number 3: uncorrected energy -34.99 eV/cell. Number 4: uncorrected energy -50.89 eV/cell.